First-principles (PBE+U) data for a geometry-optimized TiCr2F8 structure, as listed in Alexandria via LeMat-Bulk.

a = 4.174 Å, b = 6.864 Å, c = 6.080 Å
α = 124.36°, β = 88.19°, γ = 90.01°
Site moments in Bohr magnetons follow the coordinates.
Sites, in units of the cell vectors:
F (0.762, 0.292, 0.179)  0.00
Ti (0.000, 0.000, 0.000)  0.10
F (0.251, 0.151, 0.300)  0.01
F (0.762, 0.887, 0.179)  0.00
Cr (0.746, 0.629, 0.257)  3.79
F (0.249, 0.612, 0.225)  0.01
F (0.749, 0.849, 0.700)  0.01
F (0.238, 0.113, 0.821)  0.00
F (0.751, 0.388, 0.775)  0.01
Cr (0.254, 0.371, 0.743)  3.79
F (0.238, 0.708, 0.821)  0.00

Computed properties:
Space-group type: C2/m
Energy (Ry per atom): -0.4645
Offset from the most stable computed form (meV per atom): 0